Here is a relaxed TbPm3Sc7 crystal from Alexandria. Energies are from PBE-GGA.

CIF file:
```
data_TbPm3Sc7
_space_group_name_H-M_alt 'I m m m'
_space_group_IT_number 71
_space_group_name_Hall '-I 2 2'
_cell_length_a 5.4996
_cell_length_b 10.5267
_cell_length_c 10.8011
_cell_angle_alpha 90.00
_cell_angle_beta 90.00
_cell_angle_gamma 90.00
loop_
_atom_site_label
_atom_site_fract_x
_atom_site_fract_y
_atom_site_fract_z
Tb1 0.0000 0.0000 0.0000
Pm1 0.0000 0.2153 0.5000
Pm2 0.0000 0.5000 0.0000
Sc1 0.0000 0.0000 0.2925
Sc2 0.0000 0.3099 0.2187
Sc3 0.0000 0.5000 0.5000
```

Properties
Formation energy from the elements (eV/atom): 0.2995

Here is a relaxed Tb5Pm4Sc3 crystal from Alexandria. Energies are from PBE-GGA.

CIF file:
```
data_Tb5Pm4Sc3
_space_group_name_H-M_alt 'C 1 2/m 1'
_space_group_IT_number 12
_space_group_name_Hall '-C 2y'
_cell_length_a 16.0215
_cell_length_b 5.7761
_cell_length_c 9.2108
_cell_angle_alpha 90.00
_cell_angle_beta 117.44
_cell_angle_gamma 90.00
loop_
_atom_site_label
_atom_site_fract_x
_atom_site_fract_y
_atom_site_fract_z
Tb1 0.0000 0.0000 0.0000
Tb2 0.0720 0.5000 0.7129
Tb3 0.1724 0.5000 0.3783
Pm1 0.0844 0.0000 0.4459
Pm2 0.2184 0.0000 0.8810
Sc1 0.0000 0.5000 0.0000
Sc2 0.2158 0.0000 0.2358
```

Properties
Formation energy from the elements (eV/atom): 0.2072

Here is a relaxed Tb3Pm3Sc crystal from Alexandria. Energies are from PBE-GGA.

CIF file:
```
data_Tb3Pm3Sc
_space_group_name_H-M_alt 'P 63/m'
_space_group_IT_number 176
_space_group_name_Hall '-P 6c'
_cell_length_a 9.5607
_cell_length_b 9.5607
_cell_length_c 5.6885
_cell_angle_alpha 90.00
_cell_angle_beta 90.00
_cell_angle_gamma 120.00
loop_
_atom_site_label
_atom_site_fract_x
_atom_site_fract_y
_atom_site_fract_z
Tb1 0.0502 0.2399 0.2500
Pm1 0.0967 0.4777 0.7500
Sc1 0.3333 0.6667 0.2500
```

Properties
Relative energy among the computed polymorphs (meV/atom): 0
Formation energy from the elements (eV/atom): 0.0335

Here is a relaxed Tb12Pm5Sc2 crystal from Alexandria. Energies are from PBE-GGA.

CIF file:
```
data_Tb12Pm5Sc2
_space_group_name_H-M_alt 'C 1 2/m 1'
_space_group_IT_number 12
_space_group_name_Hall '-C 2y'
_cell_length_a 18.7739
_cell_length_b 7.2711
_cell_length_c 9.9305
_cell_angle_alpha 90.00
_cell_angle_beta 114.29
_cell_angle_gamma 90.00
loop_
_atom_site_label
_atom_site_fract_x
_atom_site_fract_y
_atom_site_fract_z
Tb1 0.0046 0.0000 0.3150
Tb2 0.0106 0.5000 0.2115
Tb3 0.1581 0.2508 0.8557
Tb4 0.1628 0.2543 0.5015
Pm1 0.0000 0.5000 0.5000
Pm2 0.1789 0.0000 0.2003
Pm3 0.1812 0.5000 0.1803
Sc1 0.0000 0.1969 0.0000
```

Properties
Relative energy among the computed polymorphs (meV/atom): 17
Formation energy from the elements (eV/atom): 0.1735

Here is a relaxed Tb4Pm2Sc5 crystal from Alexandria. Energies are from PBE-GGA.

CIF file:
```
data_Tb4Pm2Sc5
_space_group_name_H-M_alt 'P 1 2/m 1'
_space_group_IT_number 10
_space_group_name_Hall '-P 2y'
_cell_length_a 8.6752
_cell_length_b 3.4456
_cell_length_c 11.5035
_cell_angle_alpha 90.00
_cell_angle_beta 109.21
_cell_angle_gamma 90.00
loop_
_atom_site_label
_atom_site_fract_x
_atom_site_fract_y
_atom_site_fract_z
Tb1 0.2415 0.0000 0.3481
Tb2 0.2518 0.0000 0.7740
Pm1 0.3669 0.5000 0.0939
Sc1 0.0000 0.5000 0.5000
Sc2 0.0052 0.5000 0.8723
Sc3 0.4102 0.5000 0.6000
```

Properties
Formation energy from the elements (eV/atom): 0.1402

Here is a relaxed Tb8PmSc3 crystal from Alexandria. Energies are from PBE-GGA.

CIF file:
```
data_Tb8PmSc3
_space_group_name_H-M_alt 'P 1'
_space_group_IT_number 1
_space_group_name_Hall 'P 1'
_cell_length_a 5.9501
_cell_length_b 6.6407
_cell_length_c 9.6286
_cell_angle_alpha 106.30
_cell_angle_beta 90.13
_cell_angle_gamma 90.98
loop_
_atom_site_label
_atom_site_fract_x
_atom_site_fract_y
_atom_site_fract_z
Tb1 0.0000 0.0000 0.0000
Tb2 0.0068 0.8275 0.3210
Tb3 0.1137 0.1747 0.6533
Tb4 0.1607 0.5050 0.9989
Tb5 0.5071 0.7591 0.4861
Tb6 0.5163 0.0300 0.8361
Tb7 0.6481 0.4103 0.1616
Tb8 0.6564 0.2586 0.4749
Pm1 0.6330 0.5335 0.8283
Sc1 0.0439 0.6690 0.6503
Sc2 0.1620 0.3295 0.3256
Sc3 0.5051 0.9128 0.1630
```

Properties
Formation energy from the elements (eV/atom): 0.0790

Here is a relaxed Tb4Pm2Sc crystal from Alexandria. Energies are from PBE-GGA.

CIF file:
```
data_Tb4Pm2Sc
_space_group_name_H-M_alt 'C 1 2/m 1'
_space_group_IT_number 12
_space_group_name_Hall '-C 2y'
_cell_length_a 10.7366
_cell_length_b 10.7367
_cell_length_c 8.1692
_cell_angle_alpha 90.00
_cell_angle_beta 90.20
_cell_angle_gamma 90.00
loop_
_atom_site_label
_atom_site_fract_x
_atom_site_fract_y
_atom_site_fract_z
Tb1 0.0015 0.2413 0.2811
Tb2 0.2410 0.0000 0.7191
Tb3 0.2416 0.0000 0.2812
Pm1 0.0000 0.5000 0.0000
Pm2 0.0000 0.5000 0.5000
Pm3 0.2500 0.2500 0.0000
Sc1 0.0000 0.0000 0.0000
Sc2 0.0000 0.0000 0.5000
```

Properties
Relative energy among the computed polymorphs (meV/atom): 0
Formation energy from the elements (eV/atom): 0.2989

Here is a relaxed Tb3PmSc crystal from Alexandria. Energies are from PBE-GGA.

CIF file:
```
data_Tb3PmSc
_space_group_name_H-M_alt 'C 1 2/c 1'
_space_group_IT_number 15
_space_group_name_Hall '-C 2yc'
_cell_length_a 19.6889
_cell_length_b 9.7527
_cell_length_c 6.5285
_cell_angle_alpha 90.00
_cell_angle_beta 93.95
_cell_angle_gamma 90.00
loop_
_atom_site_label
_atom_site_fract_x
_atom_site_fract_y
_atom_site_fract_z
Tb1 0.0761 0.0562 0.3982
Tb2 0.1494 0.3975 0.5925
Tb3 0.1644 0.2471 0.0807
Pm1 0.0000 0.2523 0.7500
Pm2 0.0000 0.3958 0.2500
Sc1 0.2166 0.0665 0.6795
```

Properties
Relative energy among the computed polymorphs (meV/atom): 44
Formation energy from the elements (eV/atom): 0.0782

Here is a relaxed Tb4Pm7Sc crystal from Alexandria. Energies are from PBE-GGA.

CIF file:
```
data_Tb4Pm7Sc
_space_group_name_H-M_alt 'C 1 2/m 1'
_space_group_IT_number 12
_space_group_name_Hall '-C 2y'
_cell_length_a 16.3108
_cell_length_b 5.9246
_cell_length_c 9.3428
_cell_angle_alpha 90.00
_cell_angle_beta 116.92
_cell_angle_gamma 90.00
loop_
_atom_site_label
_atom_site_fract_x
_atom_site_fract_y
_atom_site_fract_z
Tb1 0.0838 0.0000 0.4464
Tb2 0.2106 0.0000 0.2318
Pm1 0.0000 0.0000 0.0000
Pm2 0.0727 0.5000 0.7075
Pm3 0.1692 0.5000 0.3832
Pm4 0.2167 0.0000 0.8786
Sc1 0.0000 0.5000 0.0000
```

Properties
Relative energy among the computed polymorphs (meV/atom): 204
Formation energy from the elements (eV/atom): 0.2236

Here is a relaxed Tb2PmSc9 crystal from Alexandria. Energies are from PBE-GGA.

CIF file:
```
data_Tb2PmSc9
_space_group_name_H-M_alt 'R -3 m'
_space_group_IT_number 166
_space_group_name_Hall '-R 3 2"'
_cell_length_a 6.4219
_cell_length_b 6.4219
_cell_length_c 28.2844
_cell_angle_alpha 90.00
_cell_angle_beta 90.00
_cell_angle_gamma 120.00
loop_
_atom_site_label
_atom_site_fract_x
_atom_site_fract_y
_atom_site_fract_z
Tb1 0.0000 0.0000 0.1355
Pm1 0.0000 0.0000 0.0000
Sc1 0.0000 0.0000 0.3348
Sc2 0.0000 0.0000 0.5000
Sc3 0.0134 0.5067 0.9116
```

Properties
Formation energy from the elements (eV/atom): 0.2559

Here is a relaxed Tb2Pm8Sc3 crystal from Alexandria. Energies are from PBE-GGA.

CIF file:
```
data_Tb2Pm8Sc3
_space_group_name_H-M_alt 'C 1 2/m 1'
_space_group_IT_number 12
_space_group_name_Hall '-C 2y'
_cell_length_a 14.9282
_cell_length_b 8.8808
_cell_length_c 6.6461
_cell_angle_alpha 90.00
_cell_angle_beta 99.56
_cell_angle_gamma 90.00
loop_
_atom_site_label
_atom_site_fract_x
_atom_site_fract_y
_atom_site_fract_z
Tb1 0.1968 0.0000 0.2988
Pm1 0.0906 0.5000 0.8987
Pm2 0.1107 0.3172 0.4324
Pm3 0.1893 0.0000 0.8157
Sc1 0.0000 0.0000 0.5000
Sc2 0.0000 0.1616 0.0000
```

Properties
Relative energy among the computed polymorphs (meV/atom): 62
Formation energy from the elements (eV/atom): 0.2418

Here is a relaxed TbPm2Sc4 crystal from Alexandria. Energies are from PBE-GGA.

CIF file:
```
data_TbPm2Sc4
_space_group_name_H-M_alt 'P 1'
_space_group_IT_number 1
_space_group_name_Hall 'P 1'
_cell_length_a 6.5079
_cell_length_b 8.4857
_cell_length_c 8.5008
_cell_angle_alpha 79.29
_cell_angle_beta 67.55
_cell_angle_gamma 67.47
loop_
_atom_site_label
_atom_site_fract_x
_atom_site_fract_y
_atom_site_fract_z
Tb1 0.0000 0.0000 0.0000
Tb2 0.4456 0.0804 0.0280
Pm1 0.0046 0.5270 0.4700
Pm2 0.0905 0.0397 0.5134
Pm3 0.0986 0.5403 0.0142
Pm4 0.4472 0.5531 0.5582
Sc1 0.4150 0.1790 0.6559
Sc2 0.4367 0.7911 0.7643
Sc3 0.4379 0.2895 0.2636
Sc4 0.4712 0.6866 0.1590
Sc5 0.6954 0.9008 0.3717
Sc6 0.7624 0.3935 0.8688
Sc7 0.8643 0.7883 0.7688
Sc8 0.8672 0.2924 0.2590
```

Properties
Relative energy among the computed polymorphs (meV/atom): 0
Formation energy from the elements (eV/atom): 0.1936